one | A relaxed CdBiI2 crystal, computed with PBE.

## Properties
Its space group is I-42d. The total magnetization is 0.00 μB/atom.

Cell lengths 11.579, 11.579, 8.728 Å; angles 48.44, 48.44, 90.00 degrees
Sites, in units of the cell vectors:
1 I 0.783 0.125 0.250
2 I 0.875 0.033 0.750
3 I 0.375 0.217 0.750
4 I 0.967 0.625 0.250
5 Cd 0.500 0.500 0.000
6 Cd 0.250 0.750 0.500
7 Bi 0.750 0.250 0.500
8 Bi 0.000 0.000 0.000

two | A relaxed CdBiI2 crystal, computed with PBE.

## Properties
Its space group is Fm-3m. The total magnetization is 0.00 μB/atom.

Cell lengths 5.674, 5.674, 5.674 Å; angles 60.00, 60.00, 60.00 degrees
Sites, in units of the cell vectors:
1 I 0.250 0.250 0.250
2 I 0.750 0.750 0.750
3 Bi 0.500 0.500 0.500
4 Cd 0.000 0.000 0.000

Here is how they stack up, most stable first: one, two.